VOF: optimized geometry, PBE with a Hubbard U.

```
VOF
1.0
4.6421 -0.0006 -0.0016
0.1411 5.6720 0.0077
0.1625 0.5620 7.8663
F V O
6 6 6
direct
0.7859 0.0407 0.7745 F
0.2900 0.7978 0.8858 F
0.2047 0.6271 0.5552 F
0.7100 0.2022 0.1142 F
0.7953 0.3729 0.4448 F
0.2141 0.9593 0.2255 F
0.0000 0.0000 0.0000 V
0.9855 0.6620 0.3154 V
0.5189 0.8313 0.6488 V
0.0145 0.3380 0.6846 V
0.4811 0.1687 0.3512 V
0.5000 0.5000 0.0000 V
0.2845 0.1197 0.5715 O
0.7155 0.8803 0.4285 O
0.6914 0.5399 0.7661 O
0.3086 0.4601 0.2339 O
0.1964 0.2866 0.9069 O
0.8036 0.7134 0.0931 O
```

Output
SG   P-1 (2)
E_tot   -128.6 eV for the cell shown